{
  "formula": "NaCe3Pb3",
  "functional": "PBE",
  "state": "optimized geometry",
  "dos_at_fermi_per_ev_atom": 2.403,
  "space_group": "No. 12",
  "rho_g_cm3": 8.144,
  "formation_enthalpy_0k_ev_per_fu": -0.79,
  "cell": [[5.8062, -5.5495, 0.0000], [5.8062, 5.5495, 0.0000], [-0.2069, 0.0000, 6.7388]],
  "species": ["Na", "Na", "Ce", "Ce", "Ce", "Ce", "Ce", "Ce", "Pb", "Pb", "Pb", "Pb", "Pb", "Pb"],
  "frac_coords": [[0.1420, 0.1420, 0.3632], [0.8580, 0.8580, 0.6368], [0.2300, 0.7700, 0.0000], [0.3372, 0.6628, 0.5000], [0.3847, 0.3847, 0.0026], [0.6153, 0.6153, 0.9974], [0.6628, 0.3372, 0.5000], [0.7700, 0.2300, 0.0000], [0.0021, 0.4991, 0.7434], [0.1197, 0.1197, 0.8161], [0.4991, 0.0021, 0.7434], [0.5009, 0.9979, 0.2566], [0.8803, 0.8803, 0.1839], [0.9979, 0.5009, 0.2566]]
}


{
  "formula": "NaCePb",
  "functional": "PBE",
  "state": "optimized geometry",
  "relative_energy_mev_per_atom": 67,
  "dos_at_fermi_per_ev_atom": 1.910,
  "space_group": "No. 63",
  "rho_g_cm3": 6.784,
  "formation_enthalpy_0k_ev_per_fu": -0.12,
  "cell": [[1.6160, -9.3207, 0.0000], [1.6160, 9.3207, 0.0000], [0.0000, 0.0000, 6.0180]],
  "species": ["Na", "Na", "Ce", "Ce", "Pb", "Pb"],
  "frac_coords": [[0.1867, 0.8133, 0.7500], [0.8133, 0.1867, 0.2500], [0.0000, 0.0000, 0.0000], [0.0000, 0.0000, 0.5000], [0.3607, 0.6393, 0.7500], [0.6393, 0.3607, 0.2500]]
}